Material: RbMnWO6
Method: DFT, PBE with a Hubbard U
State: optimized geometry

Unit cell a=5.1902 b=8.9973 c=6.3989 alpha=90.00 beta=90.17 gamma=90.00
Closest atoms and distances in Å follow each position.
Space group C2 (No. 5)
One atom of each set of equivalent atoms:
1 Rb 0.0000 0.0000 0.0000 [2 per cell]  6 O 2.94-2.95
2 Mn 0.0000 0.3334 0.5000 [2 per cell]  6 O 1.92
3 W 0.0000 0.6666 0.5000 [2 per cell]  6 O 1.95
4 O 0.1025 0.4980 0.3276 [4 per cell]  1 Mn 1.92, 1 W 1.95
5 O 0.1946 0.1995 0.3278 [4 per cell]  1 Mn 1.92, 1 W 1.95
6 O 0.2007 0.8026 0.3277 [4 per cell]  1 Mn 1.92, 1 W 1.95

Volume ... 149.4 Å³/f.u.
DOS at the Fermi energy ... 6.45 states/eV per cell
Electronic total energy ... -6.62 eV/atom